Material: La4Bi2SbN2
Method: DFT, GGA-PBE
State: optimized geometry

Results
For the total energy, the calculation gives -116.72 eV per cell. The formation energy from raw total energies comes out at -1124 meV/atom. The size of the total moment is 0.0 μB/cell.

Cell: 18.210 4.168 7.636 Å, 90.00 113.81 90.00°
Space group C2/m (No. 12)
Symmetry-distinct sites (fractional):
La1 0.057 0.000 0.357 (multiplicity 4)
La2 0.222 0.500 0.281 (multiplicity 4)
Bi1 0.120 0.500 0.772 (multiplicity 4)
Sb1 0.000 0.500 0.000 (multiplicity 2)
N1 0.183 0.000 0.386 (multiplicity 4)

***

Material: Pa2PdRhN5
Method: DFT, GGA-PBE
State: optimized geometry

Results
For the total energy, the calculation gives -313.29 eV per cell. The formation energy from raw total energies comes out at -573 meV/atom. The size of the total moment is 0.0 μB/cell.

Cell: 3.388 12.990 10.481 Å, 90.00 90.00 90.00°
Space group Cmc2_1 (No. 36)
Symmetry-distinct sites (fractional):
Pa1 0.000 0.082 0.000 (multiplicity 4)
Pa2 0.000 0.148 0.655 (multiplicity 4)
Pd1 0.000 0.451 0.794 (multiplicity 4)
Rh1 0.000 0.228 0.394 (multiplicity 4)
N1 0.000 0.074 0.443 (multiplicity 4)
N2 0.000 0.261 0.040 (multiplicity 4)
N3 0.000 0.297 0.775 (multiplicity 4)
N4 0.000 0.386 0.336 (multiplicity 4)
N5 0.000 0.495 0.111 (multiplicity 4)

***

Material: SiTeC2
Method: DFT, GGA-PBE
State: optimized geometry

Results
For the total energy, the calculation gives -70.48 eV per cell. The formation energy from raw total energies comes out at 2348 meV/atom. The size of the total moment is 0.0 μB/cell.

Cell: 5.858 5.858 5.858 Å, 90.00 90.00 90.00°
Space group Fm-3m (No. 225)
Symmetry-distinct sites (fractional):
Si1 0.000 0.000 0.000 (multiplicity 4)
Te1 0.000 0.000 0.500 (multiplicity 4)
C1 0.250 0.250 0.250 (multiplicity 8)

***

Material: CrTcPb2
Method: DFT, GGA-PBE
State: optimized geometry

Results
The calculation puts the energy of formation at 0.651 eV/atom. For the total energy, the calculation gives -99.21 eV per cell. The size of the total moment is 11.9 μB/cell.

Cell: 6.806 6.806 6.806 Å, 90.00 90.00 90.00°
Space group Fm-3m (No. 225)
Symmetry-distinct sites (fractional):
Cr1 0.000 0.000 0.000 (multiplicity 4)
Tc1 0.000 0.000 0.500 (multiplicity 4)
Pb1 0.250 0.250 0.250 (multiplicity 8)

***

Material: PmDy2Y3Sb6
Method: DFT, GGA-PBE
State: optimized geometry

Results
For the total energy, the calculation gives -143.91 eV per cell. The formation energy from raw total energies comes out at -1156 meV/atom. The size of the total moment is 0.0 μB/cell.

Cell: 7.633 13.224 7.629 Å, 90.00 109.48 90.00°
Space group C2/m (No. 12)
Symmetry-distinct sites (fractional):
Pm1 0.000 0.000 0.000 (multiplicity 2)
Dy1 0.000 0.333 0.000 (multiplicity 4)
Y1 0.000 0.165 0.500 (multiplicity 4)
Y2 0.000 0.500 0.500 (multiplicity 2)
Sb1 0.246 0.500 0.251 (multiplicity 4)
Sb2 0.247 0.331 0.748 (multiplicity 8)

***

Material: CaTmNiIr
Method: DFT, GGA-PBE
State: optimized geometry

Results
The calculation puts the energy of formation at -0.417 eV/atom. For the total energy, the calculation gives -91.14 eV per cell. The size of the total moment is 0.0 μB/cell.

Cell: 6.752 6.752 6.752 Å, 90.00 90.00 90.00°
Space group F-43m (No. 216)
Symmetry-distinct sites (fractional):
Ca1 0.000 0.000 0.000 (multiplicity 4)
Tm1 0.000 0.000 0.500 (multiplicity 4)
Ni1 0.250 0.250 0.750 (multiplicity 4)
Ir1 0.250 0.250 0.250 (multiplicity 4)